# 1
## Ba2EuCd (PBE-GGA)

Data for an optimized crystal structure of Ba2EuCd.

For the total energy, the calculation gives -15.28 eV for the cell shown. Its space group is P4/mmm. The formation energy is -62 meV/atom. The density of states at the Fermi level comes out at 12.3 states/eV/f.u. The value obtained for the energy above the lowest structure with this stoichiometry is 68 meV per atom.

Unit cell a=4.536 b=6.241 c=6.241 alpha=90.00 beta=90.00 gamma=90.00
Atoms (fractional coordinates):
Eu  0.500  0.000  0.000
Ba  0.000  0.000  0.500
Ba  0.000  0.500  0.000
Cd  0.500  0.500  0.500

---

# 2
## AlTcRu (PBE-GGA)

Data for an optimized crystal structure of AlTcRu.

For the total energy, the calculation gives -23.92 eV for the cell shown. Its space group is P3m1. The formation energy is -177 meV/atom. The density of states at the Fermi level comes out at 2.4 states/eV/f.u. The value obtained for the energy above the lowest structure with this stoichiometry is 220 meV per atom.

Unit cell a=4.220 b=4.220 c=2.762 alpha=90.00 beta=90.00 gamma=120.00
Atoms (fractional coordinates):
Ru  0.667  0.333  0.285
Tc  0.333  0.667  0.674
Al  0.000  0.000  0.041